A plane-wave DFT calculation with PBE was carried out for a relaxed Ti12Sb6N crystal.

Uncorrected formation energy: -693 kJ/mol of formula units
Spin magnetization: 0.017 Bohr magnetons per cell
D(E_F): 1.20 states/eV per atom

a b c (Å): 11.3928 11.3928 9.8776
angles (deg): 90.00 90.00 120.00
Last column: nearest neighbours and their distance in Å.
Space group R-3 (No. 148, hexagonal axes)
Inequivalent atoms, fractional coordinates:
Ti  0.0318  0.1664  0.3699 x18  4 Sb 2.71-3.01, 3 Ti 2.80-3.02
Ti  0.0641  0.1677  0.8763 x18  1 N 2.07
Sb  0.0323  0.4133  0.3034 x18  7 Ti 2.71-3.01
N  0.0000  0.0000  0.0000 x3  6 Ti 2.07